(1)
# VZn5Ni6

VZn5Ni6 after structural relaxation (PBE, the Alexandria database).

The space group is Cmmm (No. 65) and the conventional cell measures 4.164, 12.500 and 5.594 Å, with angles of 90.00, 90.00 and 90.00 degrees. Symmetry generates all atoms from V at (0.000, 0.000, 0.000), Zn at (0.000, 0.000, 0.500), Zn at (0.000, 0.332, 0.000), Zn at (0.000, 0.333, 0.500), Ni at (0.000, 0.163, 0.249) and Ni at (0.000, 0.500, 0.244).

Its theoretical density is 8.3 g cm⁻³. As for the formation energy: -0.21 eV per atom. The value obtained for the magnetization is 0.00 μB per formula unit.

***

(2)
# V2ZnNi7

V2ZnNi7 after structural relaxation (PBE, the Alexandria database).

The space group is Cmmm (No. 65) and the conventional cell measures 6.273, 12.330 and 3.720 Å, with angles of 90.00, 90.00 and 90.00 degrees. Symmetry generates all atoms from V at (0.000, 0.201, 0.000), Zn at (0.000, 0.500, 0.500), Ni at (0.000, 0.000, 0.000), Ni at (0.000, 0.304, 0.500) and Ni at (0.188, 0.396, 0.000).

Its theoretical density is 6.7 g cm⁻³. As for the formation energy: 0.48 eV per atom. The value obtained for the magnetization is 0.00 μB per formula unit.

***

(3)
# VZn3Ni

VZn3Ni after structural relaxation (PBE, the Alexandria database).

The space group is Pm-3m (No. 221) and the conventional cell measures 4.461, 4.461 and 4.461 Å, with angles of 90.00, 90.00 and 90.00 degrees. Symmetry generates all atoms from V at (0.000, 0.000, 0.000), Zn at (0.000, 0.500, 0.500) and Ni at (0.500, 0.500, 0.500).

Its theoretical density is 5.7 g cm⁻³. As for the formation energy: 0.49 eV per atom. The value obtained for the magnetization is 3.54 μB per formula unit.

***

(4)
# VZnNi2

VZnNi2 after structural relaxation (PBE, the Alexandria database).

The space group is Cm (No. 8) and the conventional cell measures 4.497, 2.606 and 8.446 Å, with angles of 90.00, 100.21 and 90.00 degrees. Symmetry generates all atoms from V at (0.000, 0.000, 0.000), Zn at (0.165, 0.000, 0.500), Ni at (0.084, 0.500, 0.754) and Ni at (0.415, 0.000, 0.246).

Its theoretical density is 8.0 g cm⁻³. As for the formation energy: -0.10 eV per atom. The value obtained for the magnetization is 0.00 μB per formula unit.

***

(5)
# Zr3VNi12

Zr3VNi12 after structural relaxation (PBE, the Alexandria database).

The space group is P4/mmm (No. 123) and the conventional cell measures 3.723, 3.723 and 14.779 Å, with angles of 90.00, 90.00 and 90.00 degrees. Symmetry generates all atoms from Zr at (0.000, 0.000, 0.000), Zr at (0.000, 0.000, 0.257), V at (0.000, 0.000, 0.500), Ni at (0.000, 0.500, 0.128), Ni at (0.000, 0.500, 0.385), Ni at (0.500, 0.500, 0.000), Ni at (0.500, 0.500, 0.256) and Ni at (0.500, 0.500, 0.500).

Its theoretical density is 8.3 g cm⁻³. As for the formation energy: -0.34 eV per atom. The value obtained for the magnetization is 1.50 μB per formula unit.

***

(6)
# Zr2VNi9

Zr2VNi9 after structural relaxation (PBE, the Alexandria database).

The space group is P4/mmm (No. 123) and the conventional cell measures 3.710, 3.710 and 11.021 Å, with angles of 90.00, 90.00 and 90.00 degrees. Symmetry generates all atoms from Zr at (0.000, 0.000, 0.173), V at (0.000, 0.000, 0.500), Ni at (0.000, 0.500, 0.000), Ni at (0.000, 0.500, 0.346), Ni at (0.500, 0.500, 0.172) and Ni at (0.500, 0.500, 0.500).

Its theoretical density is 8.3 g cm⁻³. As for the formation energy: -0.32 eV per atom. The value obtained for the magnetization is 1.33 μB per formula unit.